# 1
Here is a relaxed CsTl10Pb3 crystal from Alexandria via LeMat-Bulk. Energies are from PBE.

Lattice parameters (Å, degrees): 11.481 11.481 11.481 60.00 60.00 60.00
Fractional coordinates of all 28 atoms:
Cs 0.250 0.250 0.250
Cs 0.750 0.750 0.750
Tl 0.000 0.000 0.361
Tl 0.000 0.000 0.639
Tl 0.000 0.361 0.000
Tl 0.000 0.361 0.639
Tl 0.000 0.639 0.000
Tl 0.000 0.639 0.361
Tl 0.167 0.611 0.611
Tl 0.361 0.000 0.000
Tl 0.361 0.000 0.639
Tl 0.361 0.639 0.000
Tl 0.389 0.389 0.389
Tl 0.389 0.389 0.833
Tl 0.389 0.833 0.389
Tl 0.611 0.167 0.611
Tl 0.611 0.611 0.167
Tl 0.611 0.611 0.611
Tl 0.639 0.000 0.000
Tl 0.639 0.000 0.361
Tl 0.639 0.361 0.000
Tl 0.833 0.389 0.389
Pb 0.257 0.257 0.743
Pb 0.257 0.743 0.257
Pb 0.257 0.743 0.743
Pb 0.743 0.257 0.257
Pb 0.743 0.257 0.743
Pb 0.743 0.743 0.257

Computed properties:
The magnetic moment comes out at 0.00 μB per formula unit.

# 2
Here is a relaxed Cs2TlPb crystal from Alexandria via LeMat-Bulk. Energies are from PBE.

Lattice parameters (Å, degrees): 9.205 9.205 9.205 90.00 90.00 90.00
Fractional coordinates of all 16 atoms:
Cs 0.250 0.250 0.250
Cs 0.250 0.250 0.750
Cs 0.250 0.750 0.250
Cs 0.250 0.750 0.750
Cs 0.750 0.250 0.250
Cs 0.750 0.250 0.750
Cs 0.750 0.750 0.250
Cs 0.750 0.750 0.750
Tl 0.000 0.000 0.000
Tl 0.000 0.500 0.500
Tl 0.500 0.000 0.500
Tl 0.500 0.500 0.000
Pb 0.000 0.000 0.500
Pb 0.000 0.500 0.000
Pb 0.500 0.000 0.000
Pb 0.500 0.500 0.500

Computed properties:
The magnetic moment comes out at 0.68 μB per formula unit.

# 3
Here is a relaxed CsTl2Pb2 crystal from Alexandria via LeMat-Bulk. Energies are from PBE.

Lattice parameters (Å, degrees): 5.055 5.055 7.584 90.00 90.00 90.00
Fractional coordinates of all 5 atoms:
Cs 0.000 0.000 0.000
Tl 0.500 0.500 0.226
Tl 0.500 0.500 0.774
Pb 0.000 0.500 0.500
Pb 0.500 0.000 0.500

Computed properties:
The magnetic moment comes out at 0.00 μB per formula unit.

What are the uncorrected energy values for these records? In order: -2.467; -1.853; -2.684 eV/atom.
What are the energy relative to the elements values for these records? In order: 1.11; 0.37; -0.42 eV/f.u..
What are the DOS(E_F) values for these records? In order: 0.553; 1.069; 0.436 states/eV/atom.